A relaxed structure of AlFeTe2O, computed with PBE+U.

Properties
density of states at the Fermi level	9.6	states/eV/cell
DFT total energy	-3.079	eV per atom
ρ	4.4	g cm⁻³
space-group type	No. 123
magnetization	0.822	μB/atom

Cell: 5.190 5.190 5.001 Å, 90.00 90.00 90.00°
Element x y z (fractional)
Al1 0.000 0.000 0.000
Fe1 0.000 0.000 0.500
Te1 0.000 0.500 0.000
Te2 0.500 0.000 0.000
O1 0.500 0.500 0.500